No. 1
Density functional theory data (PBE) for a geometry-optimized MgTcHg structure.

Properties
As for the total energy: -0.122 hartree per atom. The calculation puts the formation energy at 74.59 kJ per mole of atoms. Its volume is 22.4 Å³ per atom. For the energy relative to the lowest polymorph listed for this composition, the calculation gives 0.405 eV per atom.

POSCAR file:
```
MgTcHg
1.0
4.561 0.000 0.000
2.280 3.950 0.000
2.280 1.317 3.724
Hg Mg Tc
1 1 1
Direct
0.000 0.000 0.000
0.500 0.500 0.500
0.750 0.750 0.750
```

=====

No. 2
Density functional theory data (PBE) for a geometry-optimized MgTc2Hg structure.

Properties
As for the total energy: -0.188 hartree per atom. The calculation puts the formation energy at 51.73 kJ per mole of atoms. Its volume is 16.9 Å³ per atom. For the energy relative to the lowest polymorph listed for this composition, the calculation gives 0.470 eV per atom.

POSCAR file:
```
MgTc2Hg
1.0
-3.346 -1.914 -8.875
-5.387 -3.230 -7.360
-5.583 -0.424 -7.891
Hg Mg Tc
1 1 2
Direct
0.250 0.250 0.250
0.750 0.750 0.750
0.002 0.002 0.002
0.498 0.498 0.498
```

=====

No. 3
Density functional theory data (PBE) for a geometry-optimized Mg2HgTe2 structure.

Properties
As for the total energy: -0.083 hartree per atom. Its volume is 27.2 Å³ per atom. For the energy relative to the lowest polymorph listed for this composition, the calculation gives 0.300 eV per atom. The calculation puts the uncorrected formation energy at -0.317 eV per atom.

POSCAR file:
```
Mg2HgTe2
1.0
8.397 0.000 0.000
0.000 8.397 0.000
0.000 0.000 3.853
Mg Te Hg
4 4 2
Direct
0.144 0.644 0.500
0.644 0.856 0.500
0.856 0.356 0.500
0.356 0.144 0.500
0.342 0.842 0.000
0.842 0.658 0.000
0.658 0.158 0.000
0.158 0.342 0.000
0.000 0.000 0.000
0.500 0.500 0.000
```